This record from Alexandria describes GdLuCoAu after structural relaxation. The functional is PBE.

Output
energy of formation	-43.1	kJ per mole of atoms
space group	F-43m (216)
total magnetization	1.65	μB/atom
density	11.68	g cm⁻³
density of states at the Fermi level	13.9	states/eV per cell

Unit cell a=6.941 b=6.941 c=6.941 alpha=90.00 beta=90.00 gamma=90.00
Atoms (fractional coordinates):
Gd 0.000 0.000 0.000
Gd 0.000 0.500 0.500
Gd 0.500 0.000 0.500
Gd 0.500 0.500 0.000
Lu 0.000 0.000 0.500
Lu 0.000 0.500 0.000
Lu 0.500 0.000 0.000
Lu 0.500 0.500 0.500
Co 0.250 0.250 0.250
Co 0.250 0.750 0.750
Co 0.750 0.250 0.750
Co 0.750 0.750 0.250
Au 0.250 0.250 0.750
Au 0.250 0.750 0.250
Au 0.750 0.250 0.250
Au 0.750 0.750 0.750